Record 1
Material: CaGaAg2S4
Method: DFT, PBE-GGA
State: relaxed

## Properties
* electronic total energy: -4.14 eV per atom
* formation energy without anion corrections: -0.735 eV per atom
* SG: No. 23

Unit cell a=6.919 b=6.058 c=6.058 alpha=72.27 beta=55.17 gamma=55.17
Element x y z (fractional)
S  0.000  0.882  0.496
S  0.000  0.504  0.118
S  0.379  0.118  0.504
S  0.621  0.496  0.882
Ag  0.500  0.251  0.749
Ag  0.500  0.749  0.251
Ca  0.000  0.000  0.000
Ga  0.000  0.500  0.500



Record 2
Material: CaScGaAg
Method: DFT, PBE-GGA
State: relaxed

## Properties
* electronic total energy: -3.91 eV per atom
* SG: No. 216

Unit cell a=4.997 b=4.997 c=4.997 alpha=60.00 beta=60.00 gamma=60.00
Element x y z (fractional)
Ga  0.000  0.000  0.000
Ca  0.750  0.750  0.750
Sc  0.250  0.250  0.250
Ag  0.500  0.500  0.500



Record 3
Material: Ca2GaAg4Sn3
Method: DFT, PBE-GGA
State: relaxed

## Properties
* electronic total energy: -3.31 eV per atom
* SG: No. 115

Unit cell a=4.494 b=4.494 c=11.924 alpha=90.00 beta=90.00 gamma=90.00
Element x y z (fractional)
Sn  0.500  0.000  0.860
Sn  0.000  0.000  0.500
Sn  0.000  0.500  0.140
Ag  0.000  0.500  0.365
Ag  0.500  0.500  0.000
Ag  0.000  0.000  0.000
Ag  0.500  0.000  0.635
Ga  0.500  0.500  0.500
Ca  0.000  0.500  0.753
Ca  0.500  0.000  0.247



Record 4
Material: Ca2Ga3Ag4Sn
Method: DFT, PBE-GGA
State: relaxed

## Properties
* electronic total energy: -3.13 eV per atom
* SG: No. 115

Unit cell a=4.329 b=4.329 c=11.727 alpha=90.00 beta=90.00 gamma=90.00
Element x y z (fractional)
Ag  0.500  0.000  0.652
Ag  0.500  0.500  0.000
Ag  0.000  0.000  0.000
Ag  0.000  0.500  0.348
Ga  0.000  0.500  0.131
Ga  0.000  0.000  0.500
Ga  0.500  0.000  0.869
Ca  0.500  0.000  0.239
Ca  0.000  0.500  0.761
Sn  0.500  0.500  0.500



Record 5
Material: SrCa2GaAg
Method: DFT, PBE-GGA
State: relaxed

## Properties
* electronic total energy: -2.35 eV per atom
* SG: No. 123

Unit cell a=5.823 b=5.078 c=5.823 alpha=90.00 beta=90.00 gamma=90.00
Element x y z (fractional)
Ag  0.000  0.500  0.000
Ca  0.500  0.000  0.000
Ca  0.000  0.000  0.500
Sr  0.500  0.500  0.500
Ga  0.000  0.000  0.000



Record 6
Material: CaTa2GaAg
Method: DFT, PBE-GGA
State: relaxed

## Properties
* electronic total energy: -4.96 eV per atom
* SG: No. 123

Unit cell a=5.084 b=4.782 c=5.084 alpha=90.00 beta=90.00 gamma=90.00
Element x y z (fractional)
Ag  0.000  0.000  0.000
Ga  0.000  0.500  0.000
Ta  0.500  0.000  0.000
Ta  0.000  0.000  0.500
Ca  0.500  0.500  0.500